Here is a relaxed structure of CdCuSO from Alexandria via LeMat-Bulk. Energies are from PBE. Values from VASP.

Computed properties:
* density of states at the Fermi level: 5.028 states/eV/f.u.
* volume: 131.97 Å³ per cell
* SG: P4/nmm, No. 129
* E_form (uncorrected): -0.34 eV per atom

```
&SYSTEM
  ibrav = 0, nat = 8, ntyp = 4
/
ATOMIC_SPECIES
Cd 112.41 Cd.upf
Cu 63.55 Cu.upf
S 32.06 S.upf
O 16.00 O.upf
CELL_PARAMETERS angstrom
4.119 0.000 0.000
0.000 4.119 0.000
0.000 0.000 7.779
ATOMIC_POSITIONS crystal
Cd 0.250 0.250 0.099
Cd 0.750 0.750 0.901
Cu 0.250 0.750 0.500
Cu 0.750 0.250 0.500
S 0.250 0.250 0.643
S 0.750 0.750 0.357
O 0.250 0.750 0.000
O 0.750 0.250 0.000
```